The following is a PBE-GGA calculation of crystalline CaYOs2F at its relaxed geometry, from Alexandria.

Computed properties:
* D(E_F): 4.219 states/eV per cell
* formation energy without anion corrections: 745.2 kJ/mol of formula units

```
data_CaYOs2F
_chemical_formula_sum 'Ca1 Y1 Os2 F1'
_cell_length_a 4.832
_cell_length_b 4.832
_cell_length_c 6.803
_cell_angle_alpha 90.00
_cell_angle_beta 90.00
_cell_angle_gamma 90.00
_space_group_name_H-M_alt 'P 4/m m m'
_space_group_IT_number 123
_space_group_name_Hall '-P 4 2'
loop_
_atom_site_label
_atom_site_fract_x
_atom_site_fract_y
_atom_site_fract_z
Ca1 0.000 0.000 0.000
Y1 0.000 0.000 0.500
Os1 0.000 0.500 0.500
F1 0.500 0.500 0.000
```

=====

The following is a PBE-GGA calculation of crystalline Pr8Y2Pu at its relaxed geometry, from Alexandria.

Computed properties:
* E_form: 160 meV/atom
* D(E_F): 38.940 states/eV per cell

```
data_Pr8Y2Pu
_chemical_formula_sum 'Pr16 Y4 Pu2'
_cell_length_a 11.269
_cell_length_b 7.145
_cell_length_c 11.083
_cell_angle_alpha 90.00
_cell_angle_beta 119.17
_cell_angle_gamma 90.00
_space_group_name_H-M_alt 'C 1 2/m 1'
_space_group_IT_number 12
_space_group_name_Hall '-C 2y'
loop_
_atom_site_label
_atom_site_fract_x
_atom_site_fract_y
_atom_site_fract_z
Pr1 0.010 0.249 0.260
Pr2 0.183 0.500 0.632
Pr3 0.184 0.500 0.061
Y1 0.170 0.000 0.578
Pu1 0.000 0.000 0.000
```

=====

The following is a PBE-GGA calculation of crystalline TbPrTm2Tl2 at its relaxed geometry, from Alexandria.

Computed properties:
* E_form: -259 meV/atom
* D(E_F): 11.657 states/eV per cell

```
data_TbPrTm2Tl2
_chemical_formula_sum 'Tb2 Pr2 Tm4 Tl4'
_cell_length_a 5.121
_cell_length_b 10.071
_cell_length_c 6.797
_cell_angle_alpha 90.00
_cell_angle_beta 90.00
_cell_angle_gamma 90.00
_space_group_name_H-M_alt 'P m c 21'
_space_group_IT_number 26
_space_group_name_Hall 'P 2c -2'
loop_
_atom_site_label
_atom_site_fract_x
_atom_site_fract_y
_atom_site_fract_z
Tb1 0.000 0.194 0.000
Pr1 0.500 0.041 0.274
Tm1 0.000 0.458 0.369
Tm2 0.500 0.319 0.654
Tl1 0.000 0.144 0.536
Tl2 0.500 0.371 0.115
```

=====

The following is a PBE-GGA calculation of crystalline Re2OsRh at its relaxed geometry, from Alexandria.

Computed properties:
* E_form: 19 meV/atom
* D(E_F): 3.606 states/eV per cell
* relative energy among the computed polymorphs: 3.62 kcal/mol of atoms

```
data_Re2OsRh
_chemical_formula_sum 'Re2 Os1 Rh1'
_cell_length_a 2.740
_cell_length_b 2.740
_cell_length_c 7.828
_cell_angle_alpha 90.00
_cell_angle_beta 90.00
_cell_angle_gamma 90.00
_space_group_name_H-M_alt 'P 4 m m'
_space_group_IT_number 99
_space_group_name_Hall 'P 4 -2'
loop_
_atom_site_label
_atom_site_fract_x
_atom_site_fract_y
_atom_site_fract_z
Re1 0.000 0.000 0.000
Re2 0.500 0.500 0.266
Os1 0.500 0.500 0.767
Rh1 0.000 0.000 0.506
```

=====

> D(E_F) of number 2 (Pr8Y2Pu)?

38.940 states/eV per cell

=====

> Which of these has the highest D(E_F)?

Pr8Y2Pu

=====

Repeat the first record exactly.
The following is a PBE-GGA calculation of crystalline CaYOs2F at its relaxed geometry, from Alexandria.

Computed properties:
* D(E_F): 4.219 states/eV per cell
* formation energy without anion corrections: 745.2 kJ/mol of formula units

```
data_CaYOs2F
_chemical_formula_sum 'Ca1 Y1 Os2 F1'
_cell_length_a 4.832
_cell_length_b 4.832
_cell_length_c 6.803
_cell_angle_alpha 90.00
_cell_angle_beta 90.00
_cell_angle_gamma 90.00
_space_group_name_H-M_alt 'P 4/m m m'
_space_group_IT_number 123
_space_group_name_Hall '-P 4 2'
loop_
_atom_site_label
_atom_site_fract_x
_atom_site_fract_y
_atom_site_fract_z
Ca1 0.000 0.000 0.000
Y1 0.000 0.000 0.500
Os1 0.000 0.500 0.500
F1 0.500 0.500 0.000
```